1.
# La4Co

A relaxed structure of La4Co (PBE, the Alexandria database).

Results
* ΔE_f: 19 kJ/mol of atoms
* offset from the most stable computed form: 0.306 eV/atom

Cell lengths 5.8875, 5.8875, 5.8875 Å; angles 109.47, 109.47, 109.47 degrees
Closest atoms and distances in Å follow each position.
Atoms (fractional coordinates):
La: 0.0000 0.5000 0.0000  2 Co 2.94
La: 0.5000 0.0000 0.0000  2 Co 2.94
La: 0.0000 0.0000 0.5000  2 Co 2.94
La: 0.5000 0.5000 0.5000  2 Co 2.94
Co: 0.0000 0.0000 0.0000  8 La 2.94

2.
# Zn2TeIr

A relaxed structure of Zn2TeIr (PBE, the Alexandria database).

Results
* raw formation energy: 205 meV/atom

Cell lengths 4.6899, 3.2536, 4.7627 Å; angles 89.20, 90.00, 90.00 degrees
Closest atoms and distances in Å follow each position.
Atoms (fractional coordinates):
Zn: 0.0000 0.0334 0.0314  2 Zn 2.53-2.76, 2 Ir 2.66
Zn: 0.0000 0.4666 0.4686  2 Zn 2.53-2.76, 2 Ir 2.66
Ir: 0.5000 0.2500 0.2500  4 Zn 2.66, 4 Te 2.87-2.90
Te: 0.5000 0.7500 0.7500  4 Zn 2.86, 4 Ir 2.87-2.90

no.,size of the total moment (Bohr magnetons per cell)
1,0.00
2,0.00